Entry 1:
# Dy3Tm4Zn4

Dy3Tm4Zn4 after structural relaxation (PBE-GGA, the Alexandria database).

Structure (POSCAR):
```
Dy3Tm4Zn4
1.0
5.043 0.000 0.000
0.000 6.906 0.000
-2.522 -3.453 7.982
Dy Zn Tm
3 4 4
Direct
0.897 0.897 0.795
0.000 0.500 0.000
0.103 0.103 0.205
0.500 0.814 0.000
0.816 0.316 0.632
0.184 0.684 0.368
0.500 0.186 0.000
0.321 0.553 0.642
0.321 0.089 0.642
0.679 0.911 0.358
0.679 0.447 0.358
```

Computed properties:
energy of formation from the pure elements: -0.141 eV/atom

***

Entry 2:
# CrGaSCl2

CrGaSCl2 after structural relaxation (PBE-GGA, the Alexandria database).

Structure (POSCAR):
```
CrGaSCl2
1.0
4.945 0.000 0.000
0.000 4.945 0.000
0.000 0.000 4.566
Cl Ga Cr S
2 1 1 1
Direct
0.500 0.000 0.000
0.000 0.500 0.000
0.500 0.500 0.500
0.000 0.000 0.000
0.000 0.000 0.500
```

Computed properties:
formation energy without anion corrections: -257 kJ/mol of formula units
excess energy over the best structure of this formula in the dataset: 0.000 eV per atom

***

Entry 3:
# Pr8Sm3Ho3

Pr8Sm3Ho3 after structural relaxation (PBE-GGA, the Alexandria database).

Structure (POSCAR):
```
Pr8Sm3Ho3
1.0
-4.897 2.520 1.700
-7.433 -5.203 -3.944
-0.997 -1.874 9.663
Pr Ho Sm
8 3 3
Direct
0.163 0.440 0.233
0.342 0.435 0.881
0.342 0.881 0.435
0.163 0.233 0.440
0.837 0.560 0.767
0.658 0.119 0.565
0.837 0.767 0.560
0.658 0.565 0.119
0.199 0.801 0.801
0.500 0.500 0.500
0.801 0.199 0.199
0.500 0.000 0.000
0.000 0.179 0.821
0.000 0.821 0.179
```

Computed properties:
energy of formation from the pure elements: 0.102 eV/atom

***

Entry 4:
# PmNdCo

PmNdCo after structural relaxation (PBE-GGA, the Alexandria database).

Structure (POSCAR):
```
PmNdCo
1.0
4.820 0.000 0.000
2.410 4.175 0.000
2.410 1.392 3.936
Co Nd Pm
1 1 1
Direct
0.250 0.250 0.250
0.000 0.000 0.000
0.500 0.500 0.500
```

Computed properties:
energy of formation from the pure elements: 0.044 eV/atom
excess energy over the best structure of this formula in the dataset: 0.112 eV per atom

***

Entry 5:
# SrTe3Pd

SrTe3Pd after structural relaxation (PBE-GGA, the Alexandria database).

Structure (POSCAR):
```
SrTe3Pd
1.0
-0.770 -4.483 2.886
4.718 -1.932 -1.742
2.484 2.278 4.203
Te Sr Pd
3 1 1
Direct
0.000 0.500 0.000
0.500 0.000 0.000
0.000 0.000 0.500
0.500 0.500 0.500
0.000 0.000 0.000
```

Computed properties:
formation energy without anion corrections: -266 kJ/mol of formula units
excess energy over the best structure of this formula in the dataset: 0.000 eV per atom

***

Entry 6:
# ReSbBr2

ReSbBr2 after structural relaxation (PBE-GGA, the Alexandria database).

Structure (POSCAR):
```
ReSbBr2
1.0
3.135 0.000 0.000
0.000 3.136 0.000
0.000 0.000 9.911
Br Re Sb
2 1 1
Direct
0.000 0.000 0.090
0.000 0.000 0.410
0.500 0.500 0.250
0.500 0.500 0.750
```

Computed properties:
formation energy without anion corrections: 336 kJ/mol of formula units
excess energy over the best structure of this formula in the dataset: 0.631 eV per atom

***

Entry 7:
# NaPu2HgO8

NaPu2HgO8 after structural relaxation (PBE-GGA, the Alexandria database).

Structure (POSCAR):
```
NaPu2HgO8
1.0
6.082 0.000 0.000
-3.041 5.267 0.000
0.000 0.000 6.290
O Hg Na Pu
8 1 1 2
Direct
0.322 0.938 0.142
0.616 0.678 0.142
0.384 0.322 0.858
0.333 0.667 0.644
0.062 0.384 0.142
0.667 0.333 0.356
0.678 0.062 0.858
0.938 0.616 0.858
0.000 0.000 0.000
0.000 0.000 0.500
0.667 0.333 0.062
0.333 0.667 0.938
```

Computed properties:
formation energy without anion corrections: -1875 kJ/mol of formula units

***

Entry 8:
# TbTm2NpO8

TbTm2NpO8 after structural relaxation (PBE-GGA, the Alexandria database).

Structure (POSCAR):
```
TbTm2NpO8
1.0
-3.967 1.783 2.555
-3.028 -1.503 -3.750
-0.777 -6.175 3.102
O Np Tm Tb
8 1 2 1
Direct
0.815 0.188 0.223
0.715 0.718 0.000
0.687 0.690 0.500
0.313 0.310 0.500
0.815 0.188 0.777
0.185 0.812 0.777
0.185 0.812 0.223
0.285 0.282 0.000
0.000 0.000 0.000
0.500 0.500 0.261
0.500 0.500 0.739
0.000 0.000 0.500
```

Computed properties:
formation energy without anion corrections: -3725 kJ/mol of formula units

***

Entry 9:
# ZnTe2

ZnTe2 after structural relaxation (PBE-GGA, the Alexandria database).

Structure (POSCAR):
```
ZnTe2
1.0
-2.141 3.372 1.112
-1.247 -3.751 1.249
6.904 1.060 10.078
Zn Te
2 4
Direct
0.333 0.667 0.750
0.667 0.333 0.250
0.001 0.999 0.122
0.999 0.001 0.622
0.999 0.001 0.878
0.001 0.999 0.378
```

Computed properties:
formation energy without anion corrections: -21 kJ/mol of formula units

***

Entry 10:
# HoTePt

HoTePt after structural relaxation (PBE-GGA, the Alexandria database).

Structure (POSCAR):
```
HoTePt
1.0
-0.615 0.018 4.255
-4.262 -2.629 -2.774
2.568 -6.147 0.396
Ho Te Pt
2 2 2
Direct
0.624 0.249 0.325
0.376 0.751 0.675
0.664 0.327 0.833
0.336 0.673 0.167
0.081 0.160 0.640
0.919 0.840 0.360
```

Computed properties:
formation energy without anion corrections: -328 kJ/mol of formula units

***

Entry 11:
# TaWSe2

TaWSe2 after structural relaxation (PBE-GGA, the Alexandria database).

Structure (POSCAR):
```
TaWSe2
1.0
-5.033 2.411 0.882
-3.085 -1.186 4.583
4.864 1.951 -2.111
Se W Ta
2 1 1
Direct
0.021 0.021 0.000
0.737 0.237 0.500
0.227 0.727 0.500
0.515 0.515 0.000
```

Computed properties:
formation energy without anion corrections: 67 kJ/mol of formula units
excess energy over the best structure of this formula in the dataset: 0.502 eV per atom

***

Entry 12:
# SrBiSN2

SrBiSN2 after structural relaxation (PBE-GGA, the Alexandria database).

Structure (POSCAR):
```
SrBiSN2
1.0
-1.945 0.235 -3.922
-3.186 -2.655 1.421
-2.868 4.343 1.683
Bi N S Sr
1 2 1 1
Direct
0.000 0.000 0.000
0.500 0.000 0.000
0.000 0.500 0.000
0.000 0.000 0.500
0.500 0.500 0.500
```

Computed properties:
formation energy without anion corrections: 213 kJ/mol of formula units
excess energy over the best structure of this formula in the dataset: 0.000 eV per atom

***

Entry 13:
# PuGa3Ir2

PuGa3Ir2 after structural relaxation (PBE-GGA, the Alexandria database).

Structure (POSCAR):
```
PuGa3Ir2
1.0
-3.367 -1.826 1.343
5.975 -2.191 5.867
-3.301 8.540 3.332
Ir Ga Pu
6 9 3
Direct
0.792 0.584 0.908
0.493 0.985 0.215
0.641 0.282 0.452
0.208 0.416 0.092
0.507 0.015 0.785
0.359 0.718 0.548
0.500 0.000 0.500
0.354 0.707 0.805
0.646 0.293 0.195
0.648 0.297 0.935
0.352 0.703 0.065
0.224 0.447 0.373
0.949 0.897 0.644
0.776 0.553 0.627
0.051 0.103 0.356
0.147 0.294 0.696
0.000 0.000 0.000
0.853 0.706 0.304
```

Computed properties:
energy of formation from the pure elements: -0.479 eV/atom

***

Entry 14:
# HPtN2

HPtN2 after structural relaxation (PBE-GGA, the Alexandria database).

Structure (POSCAR):
```
HPtN2
1.0
1.690 0.000 4.796
-0.845 1.464 4.796
-0.845 -1.464 4.796
Pt N H
1 2 1
Direct
0.000 0.000 0.000
0.139 0.139 0.139
0.861 0.861 0.861
0.500 0.500 0.500
```

Computed properties:
excess energy over the best structure of this formula in the dataset: 1.049 eV per atom

***

Entry 15:
# K2HoZn2O4

K2HoZn2O4 after structural relaxation (PBE-GGA, the Alexandria database).

Structure (POSCAR):
```
K2HoZn2O4
1.0
3.363 0.000 0.000
-1.681 7.135 0.371
0.000 -2.168 6.259
Ho O Zn K
1 4 2 2
Direct
0.000 0.000 0.000
0.163 0.327 0.198
0.452 0.903 0.182
0.837 0.673 0.802
0.548 0.097 0.818
0.682 0.364 0.043
0.318 0.636 0.957
0.125 0.250 0.563
0.875 0.750 0.437
```

Computed properties:
formation energy without anion corrections: -1540 kJ/mol of formula units

***

Entry 16:
# ZrPRh

ZrPRh after structural relaxation (PBE-GGA, the Alexandria database).

Structure (POSCAR):
```
ZrPRh
1.0
3.816 0.000 0.000
0.000 6.539 0.000
0.000 0.000 7.463
Rh Zr P
4 4 4
Direct
0.750 0.356 0.062
0.250 0.144 0.562
0.250 0.644 0.938
0.750 0.856 0.438
0.250 0.027 0.180
0.250 0.527 0.320
0.750 0.973 0.820
0.750 0.473 0.680
0.750 0.239 0.377
0.750 0.739 0.123
0.250 0.261 0.877
0.250 0.761 0.623
```

Computed properties:
energy of formation from the pure elements: -1.283 eV/atom

***

Entry 17:
# RbPuSbO6

RbPuSbO6 after structural relaxation (PBE-GGA, the Alexandria database).

Structure (POSCAR):
```
RbPuSbO6
1.0
-2.828 -3.017 -6.103
-3.687 -5.379 4.367
-1.042 7.456 1.250
O Sb Pu Rb
12 2 2 2
Direct
0.180 0.930 0.361
0.428 0.060 0.250
0.820 0.070 0.639
0.572 0.310 0.750
0.434 0.684 0.868
0.178 0.940 0.750
0.428 0.690 0.250
0.178 0.310 0.750
0.566 0.316 0.132
0.822 0.060 0.250
0.572 0.940 0.750
0.822 0.690 0.250
0.500 0.000 0.500
0.000 0.000 0.500
0.500 0.000 0.000
0.500 0.500 0.000
0.103 0.353 0.205
0.897 0.647 0.795
```

Computed properties:
formation energy without anion corrections: -1745 kJ/mol of formula units

***

Entry 18:
# CdSn2Rh

CdSn2Rh after structural relaxation (PBE-GGA, the Alexandria database).

Structure (POSCAR):
```
CdSn2Rh
1.0
-0.089 3.114 0.857
-3.229 -0.109 0.060
0.224 -2.207 8.042
Cd Sn Rh
1 2 1
Direct
0.500 0.500 0.500
0.000 0.000 0.797
0.000 0.000 0.203
0.500 0.500 0.000
```

Computed properties:
energy of formation from the pure elements: -0.155 eV/atom

***

Entry 19:
# Np2TaO11

Np2TaO11 after structural relaxation (PBE-GGA, the Alexandria database).

Structure (POSCAR):
```
Np2TaO11
1.0
-4.171 4.690 5.192
4.171 -4.690 5.192
4.171 4.690 -5.192
O Ta Np
22 2 4
Direct
0.000 0.539 0.268
0.753 0.369 0.850
0.000 0.000 0.000
0.500 0.231 0.461
0.166 0.916 0.082
0.253 0.403 0.384
0.834 0.084 0.918
0.270 0.731 0.732
0.481 0.097 0.850
0.770 0.039 0.539
0.230 0.961 0.461
0.334 0.416 0.749
0.730 0.269 0.268
0.500 0.500 0.000
0.247 0.631 0.150
0.000 0.461 0.732
0.981 0.131 0.384
0.019 0.869 0.616
0.500 0.769 0.539
0.747 0.597 0.616
0.666 0.584 0.251
0.519 0.903 0.150
0.250 0.750 0.500
0.750 0.250 0.500
0.225 0.182 0.407
0.725 0.318 0.044
0.275 0.682 0.956
0.775 0.818 0.593
```

Computed properties:
formation energy without anion corrections: -2658 kJ/mol of formula units

***

Entry 20:
# Pr9Sm4Cd11

Pr9Sm4Cd11 after structural relaxation (PBE-GGA, the Alexandria database).

Structure (POSCAR):
```
Pr9Sm4Cd11
1.0
-3.272 -0.176 1.664
-6.383 -1.393 -12.698
3.435 -12.765 5.402
Cd Pr Sm
11 9 4
Direct
0.000 0.634 0.366
0.000 0.000 0.000
0.000 0.586 0.946
0.000 0.172 0.828
0.000 0.414 0.054
0.000 0.054 0.414
0.000 0.946 0.586
0.000 0.239 0.239
0.000 0.761 0.761
0.000 0.366 0.634
0.000 0.828 0.172
0.500 0.149 0.623
0.500 0.851 0.377
0.500 0.623 0.149
0.500 0.208 0.032
0.500 0.792 0.968
0.500 0.377 0.851
0.500 0.500 0.500
0.500 0.968 0.792
0.500 0.032 0.208
0.500 0.567 0.747
0.500 0.433 0.253
0.500 0.253 0.433
0.500 0.747 0.567
```

Computed properties:
energy of formation from the pure elements: -0.250 eV/atom

***

Entry 21:
# Ca5Tl6Sn

Ca5Tl6Sn after structural relaxation (PBE-GGA, the Alexandria database).

Structure (POSCAR):
```
Ca5Tl6Sn
1.0
-2.050 4.789 -1.805
-6.449 -3.650 -2.360
-4.440 3.693 6.422
Tl Ca Sn
6 5 1
Direct
0.500 0.253 0.000
0.500 0.747 0.000
0.834 0.242 0.332
0.834 0.758 0.332
0.166 0.242 0.668
0.166 0.758 0.668
0.670 0.500 0.660
0.330 0.500 0.340
0.339 0.000 0.322
0.000 0.500 0.000
0.661 0.000 0.678
0.000 0.000 0.000
```

Computed properties:
energy of formation from the pure elements: -0.361 eV/atom

***

Entry 22:
# Th3SiSb2

Th3SiSb2 after structural relaxation (PBE-GGA, the Alexandria database).

Structure (POSCAR):
```
Th3SiSb2
1.0
-1.502 -7.253 -1.827
5.522 3.781 -3.663
3.510 -1.102 6.809
Th Si Sb
6 2 4
Direct
0.255 0.239 0.768
0.411 0.094 0.232
0.059 0.392 0.227
0.906 0.589 0.768
0.608 0.941 0.773
0.761 0.745 0.232
0.001 0.999 0.000
0.665 0.335 0.000
0.333 0.667 0.000
0.833 0.167 0.500
0.493 0.507 0.500
0.173 0.827 0.500
```

Computed properties:
formation energy without anion corrections: -493 kJ/mol of formula units
excess energy over the best structure of this formula in the dataset: 0.000 eV per atom

***

The energy results, record by record, are as follows: -3.486; -4.627; -4.621; -5.498; -3.811; -4.108; -7.449; -8.732; -2.591; -5.718; -7.769; -4.827; -7.334; -4.844; -5.013; -8.386; -7.473; -4.223; -8.559; -3.248; -2.712; -6.840 eV per atom.